VASP calculation (GGA-PBE) on a relaxed structure of TbTmMo2N6.

a b c (Å): 6.308 7.394 7.394
angles (deg): 80.75 72.48 72.48
Sites, in units of the cell vectors:
Tb  0.250  0.910  0.090
Tb  0.750  0.090  0.910
Tm  0.250  0.287  0.713
Tm  0.750  0.713  0.287
Mo  0.286  0.798  0.621
Mo  0.214  0.379  0.202
Mo  0.714  0.202  0.379
Mo  0.786  0.621  0.798
N  0.159  0.000  0.779
N  0.341  0.221  0.000
N  0.841  0.000  0.221
N  0.659  0.779  0.000
N  0.342  0.881  0.376
N  0.158  0.624  0.119
N  0.658  0.119  0.624
N  0.842  0.376  0.881
N  0.091  0.625  0.667
N  0.409  0.333  0.375
N  0.909  0.375  0.333
N  0.591  0.667  0.625

Results
D(E_F) (states/eV/f.u.): 0.0
Uncorrected formation energy (eV/atom): -0.902
Space-group type: C2/c (15)